Computed, not measured: a PBEsol-optimized structure of La3IF at the SCAN level of DFT.

Cell: 5.020 5.020 5.020 Å, 90.00 90.00 90.00°
Sites, in units of the cell vectors:
La: 0.000 0.000 0.500
La: 0.000 0.500 0.000
La: 0.500 0.000 0.000
I: 0.500 0.500 0.500
F: 0.000 0.000 0.000

## Properties
magnetization = 0.000 μB per atom
uncorrected energy = -35.127 eV per atom